Entry 1:
DFT (meta-GGA SCAN) results for SrPrAlO4 at its PBEsol-relaxed geometry.

Cell lengths 6.729, 6.729, 6.729 Å; angles 147.80, 147.80, 46.19 degrees
Sites, in units of the cell vectors:
Sr: 0.000 0.000 0.000
Pr: 0.285 0.285 0.000
Al: 0.639 0.639 0.000
O: 0.149 0.649 0.500
O: 0.479 0.479 0.000
O: 0.649 0.149 0.500
O: 0.805 0.805 0.000

Values from the calculation:
* SG: I4mm, No. 107

***

Entry 2:
DFT (meta-GGA SCAN) results for Rb3AlO3 at its PBEsol-relaxed geometry.

Cell lengths 6.738, 6.738, 6.744 Å; angles 97.54, 97.54, 115.10 degrees
Sites, in units of the cell vectors:
Rb: 0.198 0.802 0.000
Rb: 0.267 0.733 0.500
Rb: 0.370 0.370 0.152
Rb: 0.630 0.630 0.848
Rb: 0.733 0.267 0.500
Rb: 0.802 0.198 0.000
Al: 0.158 0.158 0.646
Al: 0.842 0.842 0.354
O: 0.099 0.099 0.365
O: 0.149 0.404 0.763
O: 0.404 0.149 0.763
O: 0.596 0.851 0.237
O: 0.851 0.596 0.237
O: 0.901 0.901 0.635

Values from the calculation:
* SG: C2/m, No. 12

***

Entry 3:
DFT (meta-GGA SCAN) results for RbAl11O17 at its PBEsol-relaxed geometry.

Cell lengths 5.613, 5.613, 22.891 Å; angles 90.00, 90.00, 120.00 degrees
Sites, in units of the cell vectors:
Rb: 0.333 0.667 0.250
Rb: 0.667 0.333 0.750
Al: 0.000 0.000 0.000
Al: 0.000 0.000 0.500
Al: 0.167 0.334 0.105
Al: 0.167 0.334 0.395
Al: 0.167 0.833 0.105
Al: 0.167 0.833 0.395
Al: 0.333 0.667 0.525
Al: 0.333 0.667 0.675
Al: 0.333 0.667 0.825
Al: 0.333 0.667 0.975
Al: 0.334 0.167 0.605
Al: 0.334 0.167 0.895
Al: 0.666 0.833 0.105
Al: 0.666 0.833 0.395
Al: 0.667 0.333 0.025
Al: 0.667 0.333 0.175
Al: 0.667 0.333 0.325
Al: 0.667 0.333 0.475
Al: 0.833 0.167 0.605
Al: 0.833 0.167 0.895
Al: 0.833 0.666 0.605
Al: 0.833 0.666 0.895
O: 0.000 0.000 0.140
O: 0.000 0.000 0.360
O: 0.000 0.000 0.640
O: 0.000 0.000 0.860
O: 0.004 0.502 0.144
O: 0.004 0.502 0.356
O: 0.157 0.313 0.549
O: 0.157 0.313 0.951
O: 0.157 0.843 0.549
O: 0.157 0.843 0.951
O: 0.313 0.157 0.049
O: 0.313 0.157 0.451
O: 0.333 0.667 0.055
O: 0.333 0.667 0.445
O: 0.333 0.667 0.750
O: 0.498 0.502 0.144
O: 0.498 0.502 0.356
O: 0.498 0.996 0.144
O: 0.498 0.996 0.356
O: 0.502 0.004 0.644
O: 0.502 0.004 0.856
O: 0.502 0.498 0.644
O: 0.502 0.498 0.856
O: 0.667 0.333 0.250
O: 0.667 0.333 0.555
O: 0.667 0.333 0.945
O: 0.687 0.843 0.549
O: 0.687 0.843 0.951
O: 0.843 0.157 0.049
O: 0.843 0.157 0.451
O: 0.843 0.687 0.049
O: 0.843 0.687 0.451
O: 0.996 0.498 0.644
O: 0.996 0.498 0.856

Values from the calculation:
* SG: P6_3/mmc, No. 194

***

| no. | formation energy without anion corrections (meV/atom) |
| --- | --- |
| 1 | -3466 |
| 2 | -2144 |
| 3 | -3304 |